A plane-wave DFT calculation with PBEsol was carried out for crystalline YInCo2 at its relaxed geometry.

The structure in CIF format:
```
data_YInCo2
_chemical_formula_sum 'Y2 In2 Co4'
_cell_length_a 3.151
_cell_length_b 4.374
_cell_length_c 9.560
_cell_angle_alpha 90.00
_cell_angle_beta 90.00
_cell_angle_gamma 90.00
_space_group_name_H-M_alt 'I m m 2'
_space_group_IT_number 44
loop_
_space_group_symop_operation_xyz
'x,y,z'
'-x,-y,z'
'-x,y,z'
'x,-y,z'
'x+1/2,y+1/2,z+1/2'
'-x+1/2,-y+1/2,z+1/2'
'-x+1/2,y+1/2,z+1/2'
'x+1/2,-y+1/2,z+1/2'
loop_
_atom_site_label
_atom_site_type_symbol
_atom_site_fract_x
_atom_site_fract_y
_atom_site_fract_z
Y1 Y 0.000 0.000 0.000
In1 In 0.000 0.500 0.220
Co1 Co 0.000 0.000 0.475
Co2 Co 0.000 0.500 0.779
```

The calculated volume is 16.47 Å³/atom. The value obtained for the energy of formation from the pure elements is 0.0245 eV/atom.